Entry 1:
4
Lattice="0.000 3.502 3.502 3.502 0.000 3.502 3.502 3.502 0.000" Properties=species:S:1:pos:R:3 comment="KMgNiSb (PBE, relaxed)" total_energy_ev_per_atom=-2.871 pbc="T T T"
K 0.000 0.000 0.000
Mg 1.751 1.751 1.751
Ni 3.502 3.502 3.502
Sb 5.253 5.253 5.253

=====

Entry 2:
10
Lattice="3.347 0.000 0.000 -1.674 2.899 0.000 0.000 0.000 29.338" Properties=species:S:1:pos:R:3 comment="K2Mg2Os (PBE, relaxed)" total_energy_ev_per_atom=-2.644 pbc="T T T"
K 0.000 1.932 2.048
K 0.000 1.932 12.620
K 1.674 0.966 16.717
K 1.674 0.966 27.289
Mg 0.000 1.932 20.130
Mg 0.000 1.932 23.876
Mg 1.674 0.966 5.461
Mg 1.674 0.966 9.208
Os 0.000 0.000 7.334
Os 0.000 0.000 22.003

=====

Entry 3:
4
Lattice="0.000 3.369 3.369 3.369 0.000 3.369 3.369 3.369 0.000" Properties=species:S:1:pos:R:3 comment="KMgReOs (PBE, relaxed)" total_energy_ev_per_atom=-4.602 pbc="T T T"
K 0.000 0.000 0.000
Mg 3.369 3.369 3.369
Re 5.053 5.053 5.053
Os 1.684 1.684 1.684

=====

Entry 4:
4
Lattice="0.000 3.292 3.292 3.292 0.000 3.292 3.292 3.292 0.000" Properties=species:S:1:pos:R:3 comment="KMgReOs (PBE, relaxed)" total_energy_ev_per_atom=-5.283 pbc="T T T"
K 0.000 0.000 0.000
Mg 1.646 1.646 1.646
Re 3.292 3.292 3.292
Os 4.938 4.938 4.938

=====

Entry 5:
4
Lattice="0.000 3.270 3.270 3.270 0.000 3.270 3.270 3.270 0.000" Properties=species:S:1:pos:R:3 comment="KMgReOs (PBE, relaxed)" total_energy_ev_per_atom=-5.389 pbc="T T T"
K 0.000 0.000 0.000
Mg 4.905 4.905 4.905
Re 1.635 1.635 1.635
Os 3.270 3.270 3.270

=====

Entry 6:
4
Lattice="0.000 3.550 3.550 3.550 0.000 3.550 3.550 3.550 0.000" Properties=species:S:1:pos:R:3 comment="KMgSbPd (PBE, relaxed)" total_energy_ev_per_atom=-3.113 pbc="T T T"
K 0.000 0.000 0.000
Mg 1.775 1.775 1.775
Sb 5.324 5.324 5.324
Pd 3.550 3.550 3.550